Below is crystalline ZnIrSe at its relaxed geometry, with properties calculated at the PBE level.

Properties
The spin magnetization comes out at 0.0 μB per formula unit. Its volume is 48 Å³/cell. Its energy relative to the lowest polymorph listed for this composition is 0.166 eV per atom. The value obtained for the uncorrected formation energy is 230 meV/atom. Its symmetry is Imm2.

a b c (Å): 4.7552 4.7552 4.7552
angles (deg): 140.48 135.34 61.13
Fractional positions:
1 Ir 0.9886 0.9886 0.0000
2 Zn 0.3399 0.3399 0.0000
3 Se 0.6714 0.6714 0.0000

=====

Below is crystalline BaZr3I at its relaxed geometry, with properties calculated at the PBE level.

Properties
The spin magnetization comes out at 0.0 μB per formula unit. Its volume is 157 Å³/cell. Its energy relative to the lowest polymorph listed for this composition is 1.039 eV per atom. The value obtained for the uncorrected formation energy is 1741 meV/atom. Its symmetry is Pm-3m.

a b c (Å): 5.3945 5.3945 5.3945
angles (deg): 90.00 90.00 90.00
Fractional positions:
1 Zr 0.5000 0.0000 0.0000
2 I 0.5000 0.5000 0.5000
3 Zr 0.0000 0.5000 0.0000
4 Zr 0.0000 0.0000 0.5000
5 Ba 0.0000 0.0000 0.0000

=====

Below is crystalline CaCoC at its relaxed geometry, with properties calculated at the PBE level.

Properties
The spin magnetization comes out at 0.2 μB per formula unit. The calculation puts the formation energy from the elements at 0.010 eV/atom. Its volume is 177 Å³/cell. Its energy relative to the lowest polymorph listed for this composition is 0.138 eV per atom. Its symmetry is Immm.

a b c (Å): 8.6310 4.4270 4.6266
angles (deg): 90.00 90.00 90.00
Fractional positions:
1 C 0.5000 0.6591 0.0000
2 Ca 0.1864 0.0000 0.0000
3 Co 0.5000 0.0000 0.2577
4 Ca 0.8136 0.0000 0.0000
5 Co 0.5000 0.0000 0.7423
6 Co 0.0000 0.5000 0.7577
7 Co 0.0000 0.5000 0.2423
8 Ca 0.3136 0.5000 0.5000
9 Ca 0.6864 0.5000 0.5000
10 C 0.5000 0.3409 0.0000
11 C 0.0000 0.1591 0.5000
12 C 0.0000 0.8409 0.5000

=====

Below is crystalline MnTcSb at its relaxed geometry, with properties calculated at the PBE level.

Properties
The spin magnetization comes out at 0.0 μB per formula unit. Its volume is 51 Å³/cell. Its energy relative to the lowest polymorph listed for this composition is 0.000 eV per atom. The value obtained for the uncorrected formation energy is 102 meV/atom. Its symmetry is F-43m.

a b c (Å): 4.1498 4.1498 4.1498
angles (deg): 60.00 60.00 60.00
Fractional positions:
1 Sb 0.0000 0.0000 0.0000
2 Mn 0.7500 0.7500 0.7500
3 Tc 0.5000 0.5000 0.5000

=====

Below is crystalline KFe2TcAs at its relaxed geometry, with properties calculated at the PBE level.

Properties
The spin magnetization comes out at 3.8 μB per formula unit. The calculation puts the formation energy from the elements at 1.587 eV/atom. Its volume is 113 Å³/cell. Its symmetry is P4/mmm.

a b c (Å): 4.5368 5.5012 4.5368
angles (deg): 90.00 90.00 90.00
Fractional positions:
1 K 0.0000 0.5000 0.0000
2 As 0.5000 0.5000 0.5000
3 Fe 0.0000 0.0000 0.5000
4 Fe 0.5000 0.0000 0.0000
5 Tc 0.0000 0.0000 0.0000

=====

Below is crystalline V5Mo4W2 at its relaxed geometry, with properties calculated at the PBE level.

Properties
The spin magnetization comes out at 0.0 μB per formula unit. The calculation puts the formation energy from the elements at 1.120 eV/atom. Its volume is 204 Å³/cell. Its energy relative to the lowest polymorph listed for this composition is 1.216 eV per atom. Its symmetry is Immm.

a b c (Å): 2.7238 6.0815 12.7794
angles (deg): 103.77 96.12 90.00
Fractional positions:
1 V 0.1700 0.4100 0.3399
2 Mo 0.2532 0.2532 0.5064
3 W 0.0902 0.0902 0.1803
4 V 0.8300 0.0701 0.6601
5 Mo 0.0000 0.3151 0.0000
6 W 0.9098 0.9098 0.8197
7 Mo 0.0000 0.6849 0.0000
8 V 0.1700 0.9299 0.3399
9 V 0.5000 0.0000 0.0000
10 Mo 0.7468 0.7468 0.4936
11 V 0.8300 0.5900 0.6601

=====

Below is crystalline MnFe2Ag at its relaxed geometry, with properties calculated at the PBE level.

Properties
The spin magnetization comes out at 3.1 μB per formula unit. The calculation puts the formation energy from the elements at 0.699 eV/atom. Its volume is 51 Å³/cell. Its energy relative to the lowest polymorph listed for this composition is 0.420 eV per atom. Its symmetry is Fm-3m.

a b c (Å): 4.1575 4.1575 4.1575
angles (deg): 60.00 60.00 60.00
Fractional positions:
1 Ag 0.5000 0.5000 0.5000
2 Mn 0.0000 0.0000 0.0000
3 Fe 0.7500 0.7500 0.7500
4 Fe 0.2500 0.2500 0.2500

=====

Below is crystalline CsK2LiZn at its relaxed geometry, with properties calculated at the PBE level.

Properties
The spin magnetization comes out at 0.0 μB per formula unit. The calculation puts the formation energy from the elements at 0.147 eV/atom. Its volume is 266 Å³/cell. Its symmetry is P4/mmm.

a b c (Å): 6.8773 6.8773 5.6175
angles (deg): 90.00 90.00 90.00
Fractional positions:
1 Li 0.0000 0.0000 0.5000
2 K 0.5000 0.0000 0.0000
3 Cs 0.5000 0.5000 0.5000
4 Zn 0.0000 0.0000 0.0000
5 K 0.0000 0.5000 0.0000